[1]
First-principles (PBE-GGA) data for a geometry-optimized La4Ga3Ni structure, as listed in Alexandria via LeMat-Bulk.

Crystal system: orthorhombic
Density of states at the Fermi level in states/eV/f.u.: 8.40
Formation enthalpy at 0 K in meV/atom: -507.8

abc: 4.5308 4.3390 10.8088
angles: 90.00 90.00 90.00
Atoms (fractional coordinates):
Ni 0.5000 0.5000 0.0629
Ga 0.0000 0.5000 0.5693
Ga 0.0000 0.0000 0.4277
Ga 0.5000 0.0000 0.9450
La 0.5000 0.5000 0.3324
La 0.0000 0.5000 0.8754
La 0.0000 0.0000 0.1435
La 0.5000 0.0000 0.6439

[2]
First-principles (PBE-GGA) data for a geometry-optimized Rb4Ag3GeBr12 structure, as listed in Alexandria via LeMat-Bulk.

Crystal system: cubic
Density of states at the Fermi level in states/eV/f.u.: 4.52
ΔE_f (raw) in eV per formula unit: -18.630

abc: 9.4793 9.4793 9.4793
angles: 109.47 109.47 109.47
Atoms (fractional coordinates):
Rb 0.5000 0.5000 0.5000
Rb 0.0000 0.0000 0.5000
Rb 0.5000 0.0000 0.0000
Rb 0.0000 0.5000 0.0000
Ag 0.5000 0.0000 0.5000
Ag 0.5000 0.5000 0.0000
Ag 0.0000 0.5000 0.5000
Ge 0.0000 0.0000 0.0000
Br 0.2500 0.5000 0.7500
Br 0.7681 0.0000 0.7681
Br 0.2319 0.0000 0.2319
Br 0.7500 0.5000 0.2500
Br 0.7681 0.7681 0.0000
Br 0.2319 0.2319 0.0000
Br 0.7500 0.2500 0.5000
Br 0.2500 0.7500 0.5000
Br 0.5000 0.2500 0.7500
Br 0.0000 0.7681 0.7681
Br 0.5000 0.7500 0.2500
Br 0.0000 0.2319 0.2319

[3]
First-principles (PBE-GGA) data for a geometry-optimized TlW2Cl structure, as listed in Alexandria via LeMat-Bulk.

Crystal system: orthorhombic
Density of states at the Fermi level in states/eV/f.u.: 4.61
Energy relative to the lowest polymorph listed for this composition in eV per atom: 0.789
ΔE_f (raw) in eV per formula unit: 4.320

abc: 3.0636 3.0636 9.5768
angles: 90.00 90.00 124.78
Atoms (fractional coordinates):
Cl 0.5000 0.5000 0.2500
Tl 0.5000 0.5000 0.7500
W 0.0000 0.0000 0.0170
W 0.0000 0.0000 0.4830

[4]
First-principles (PBE-GGA) data for a geometry-optimized CsNdO3 structure, as listed in Alexandria via LeMat-Bulk.

Crystal system: cubic
Density of states at the Fermi level in states/eV/f.u.: 5.59
ΔE_f (raw) in eV per formula unit: -8.695

abc: 4.7255 4.7255 4.7255
angles: 90.00 90.00 90.00
Site moments in Bohr magnetons follow the coordinates.
Atoms (fractional coordinates):
Cs 0.0000 0.0000 0.0000  0.00
Nd 0.5000 0.5000 0.5000  -0.05
O 0.5000 0.5000 0.0000  0.55
O 0.5000 0.0000 0.5000  0.55
O 0.0000 0.5000 0.5000  0.55

[5]
First-principles (PBE-GGA) data for a geometry-optimized BaTbNd structure, as listed in Alexandria via LeMat-Bulk.

Crystal system: tetragonal
Density of states at the Fermi level in states/eV/f.u.: 4.98
Formation enthalpy at 0 K in meV/atom: 154.3
Energy relative to the lowest polymorph listed for this composition in eV per atom: 0.000

abc: 3.8148 3.8148 8.7749
angles: 102.55 102.55 90.00
Atoms (fractional coordinates):
Nd 0.6820 0.6820 0.3641
Tb 0.3189 0.3189 0.6378
Ba 0.9991 0.9991 0.9982

[6]
First-principles (PBE-GGA) data for a geometry-optimized NbSbI2O structure, as listed in Alexandria via LeMat-Bulk.

Crystal system: tetragonal
Density of states at the Fermi level in states/eV/f.u.: 12.91
Energy relative to the lowest polymorph listed for this composition in eV per atom: 1.106
ΔE_f (raw) in eV per formula unit: 3.604

abc: 5.3674 5.3674 5.5146
angles: 90.00 90.00 90.00
Atoms (fractional coordinates):
I 0.0000 0.5000 0.0000
I 0.5000 0.0000 0.0000
Sb 0.0000 0.0000 0.5000
Nb 0.0000 0.0000 0.0000
O 0.5000 0.5000 0.5000

Let's list M_tot in order: 0.00; 0.00; 0.00; 2.00; 0.00; 0.00 μB per cell.